Entry 1:
The following is a PBE calculation of Pd2SeS3 after structural relaxation, from OQMD.

E, eV/atom: -4.381

a b c (Å): 6.1383 3.5827 7.1102
angles (deg): 90.00 110.29 90.00
Closest atoms and distances in Å follow each position.
Space group Pm (No. 6)
Unique sites:
Pd1 0.0000 0.0000 0.0000 (multiplicity 1)  4 S 2.38-2.45
Pd2 0.0754 0.5000 0.7084 (multiplicity 1)  4 S 2.38, 1 Se 2.53
Se1 0.1570 0.5000 0.3827 (multiplicity 1)  1 S 2.13
S1 0.3241 0.0000 0.8728 (multiplicity 1)  3 Pd 2.38-2.45
S2 0.8040 0.0000 0.6470 (multiplicity 1)  3 Pd 2.38
S3 0.8377 0.5000 0.1353 (multiplicity 1)  1 Se 2.13


Entry 2:
The following is a PBE calculation of Pd3Se2S2 after structural relaxation, from OQMD.

E, eV/atom: -4.309

a b c (Å): 6.2892 6.2892 11.9485
angles (deg): 90.00 90.00 120.00
Closest atoms and distances in Å follow each position.
Space group R-3m (No. 166, hexagonal axes)
Unique sites:
Pd1 0.0000 0.5000 0.0000 (multiplicity 9)  2 Se 2.41, 2 S 2.69
Se1 0.0000 0.0000 0.2010 (multiplicity 6)  1 S 2.40, 3 Pd 2.41
S1 0.0000 0.0000 0.0000 (multiplicity 3)  2 Se 2.40
S2 0.0000 0.0000 0.5000 (multiplicity 3)  6 Pd 2.69


Entry 3:
The following is a PBE calculation of Pd2Se3S after structural relaxation, from OQMD.

E, eV/atom: -4.126

a b c (Å): 6.6767 3.7710 9.5562
angles (deg): 90.00 110.05 90.00
Closest atoms and distances in Å follow each position.
Space group Pm (No. 6)
Unique sites:
Pd1 0.0000 0.0000 0.0000 (multiplicity 1)  2 S 2.42, 2 Se 2.51
Pd2 0.3952 0.5000 0.9959 (multiplicity 1)  1 S 2.38, 3 Se 2.50-2.65
Se1 0.0125 0.5000 0.8295 (multiplicity 1)  3 Pd 2.50-2.51
Se2 0.5547 0.0000 0.8691 (multiplicity 1)  1 Se 2.31
Se3 0.6800 0.0000 0.1266 (multiplicity 1)  1 Se 2.31
S1 0.1802 0.5000 0.1495 (multiplicity 1)  3 Pd 2.38-2.42


Entry 4:
The following is a PBE calculation of Pd3Se2S2 after structural relaxation, from OQMD.

E, eV/atom: -4.579

a b c (Å): 8.0736 8.0736 8.0736
angles (deg): 90.00 90.00 90.00
Closest atoms and distances in Å follow each position.
Space group I2_13 (No. 199)
Unique sites:
Pd1 0.0000 0.2500 0.3037 (multiplicity 12)  2 S 2.34, 2 Se 2.62
Se1 0.0245 0.0245 0.0245 (multiplicity 8)  6 Pd 2.62-2.90
S1 0.2125 0.2875 0.7125 (multiplicity 8)  3 Pd 2.34


Entry 5:
The following is a PBE calculation of Pd3Se2S2 after structural relaxation, from OQMD.

E, eV/atom: -4.517

a b c (Å): 11.2651 8.0184 8.1380
angles (deg): 90.00 131.99 90.00
Closest atoms and distances in Å follow each position.
Space group C2/m (No. 12)
Unique sites:
Pd1 0.0000 0.1956 0.0000 (multiplicity 4)  2 S 2.43, 2 Se 2.53
Pd2 0.0822 0.5000 0.7710 (multiplicity 4)  2 S 2.32-2.39, 2 Se 2.46
Pd3 0.2500 0.2500 0.5000 (multiplicity 4)  4 S 2.46-2.75, 2 Se 2.52
Se1 0.0439 0.1961 0.7327 (multiplicity 8)  3 Pd 2.46-2.53
S1 0.1463 0.5000 0.2642 (multiplicity 4)  3 Pd 2.39-2.46
S2 0.2178 0.0000 0.2405 (multiplicity 4)  3 Pd 2.32-2.43


Entry 6:
The following is a PBE calculation of PdSe2S6 after structural relaxation, from OQMD.

E, eV/atom: -4.042

a b c (Å): 3.9796 7.3620 7.9874
angles (deg): 82.77 84.66 89.39
Closest atoms and distances in Å follow each position.
Space group P-1 (No. 2)
Unique sites:
Pd1 0.0000 0.0000 0.0000 (multiplicity 1)  4 S 2.49-2.52, 2 Se 2.56
Se1 0.0865 0.2215 0.7259 (multiplicity 2)  1 S 2.15
S1 0.1567 0.8878 0.4697 (multiplicity 2)  1 S 2.14, 1 Se 2.15
S2 0.4578 0.4249 0.1274 (multiplicity 2)  2 S 1.99-2.19
S3 0.4726 0.1594 0.1036 (multiplicity 2)  1 S 1.99